No. 1
The following is a DFT calculation (GGA-PBE) of AcScTlCd after structural relaxation.

a = 5.4845 Å, b = 5.4845 Å, c = 5.4845 Å
α = 60.00°, β = 60.00°, γ = 60.00°
Closest atoms and distances in Å follow each position.
Sites, in units of the cell vectors:
Cd: 0.2500 0.2500 0.2500  4 Ac 3.36, 4 Sc 3.36
Sc: 0.0000 0.0000 0.0000  4 Cd 3.36, 4 Tl 3.36
Ac: 0.5000 0.5000 0.5000  4 Tl 3.36, 4 Cd 3.36
Tl: 0.7500 0.7500 0.7500  4 Ac 3.36, 4 Sc 3.36

Calculated values
total magnetic moment = 0.109 μB per atom
N(E_F) = 4.6 states/eV per cell
ΔE_f = -22.1 kJ per mole of atoms
calculated volume = 29.2 A^3/atom

=====

No. 2
The following is a DFT calculation (GGA-PBE) of ScAlRe after structural relaxation.

a = 5.2705 Å, b = 5.2705 Å, c = 5.2705 Å
α = 90.04°, β = 120.30°, γ = 119.66°
Closest atoms and distances in Å follow each position.
Sites, in units of the cell vectors:
Al: 0.5000 0.0000 0.5000  4 Re 2.64, 2 Al 2.65
Al: 0.0000 0.5000 0.5000  4 Re 2.64, 2 Al 2.65
Re: 0.5000 0.5000 0.5000  2 Re 2.62, 4 Al 2.64
Re: 0.0000 0.5000 0.0000  2 Re 2.62, 4 Al 2.64
Sc: 0.2500 0.1329 0.8829  6 Re 3.03-3.12, 6 Al 3.07-3.15, 4 Sc 3.17-3.29
Sc: 0.7500 0.8671 0.1171  6 Re 3.03-3.12, 6 Al 3.07-3.15, 4 Sc 3.17-3.29

Calculated values
total magnetic moment = 0.000 μB per atom
N(E_F) = 3.8 states/eV per cell
E above lowest polymorph = 0 meV per atom
ΔE_f = -42.0 kJ per mole of atoms
calculated volume = 17.3 A^3/atom